Entry 1:
This record from the Alexandria database describes an optimized crystal structure of BiTeO3. The functional is PBE.

Calculated values
calculated volume = 15.21 Å³/atom
uncorrected formation energy = -0.515 eV per atom
theoretical density = 8396 kg/m3

The structure in POSCAR format:
```
BiTeO3
1.0
-1.225 -2.932 -2.803
3.086 1.226 -2.631
2.632 -2.802 1.782
Te Bi O
1 1 3
Cartesian
0.000 0.000 0.000
2.247 -2.254 -1.826
1.543 0.613 -1.316
1.316 -1.401 0.891
-0.612 -1.466 -1.401
```

Entry 2:
This record from the Alexandria database describes an optimized crystal structure of Bi3TeO6. The functional is PBE.

Calculated values
calculated volume = 16.09 Å³/atom
uncorrected formation energy = -0.955 eV per atom
theoretical density = 8779 kg/m3

The structure in POSCAR format:
```
Bi3TeO6
1.0
-1.179 4.956 3.016
-4.241 -3.246 3.675
6.034 -1.497 5.642
Bi Te O
6 2 12
Cartesian
-0.141 -1.710 9.372
-2.710 0.855 3.345
0.755 1.923 2.961
-0.738 -2.038 3.457
3.017 -0.749 2.821
1.352 2.251 8.876
0.307 0.106 6.166
0.000 0.000 0.000
4.245 1.386 7.952
1.836 1.717 5.906
-1.043 1.455 5.018
1.657 -1.242 7.315
-1.222 -1.504 6.426
-3.632 -1.173 4.380
1.054 -0.928 4.286
-1.028 -0.346 1.955
4.104 -0.592 4.995
-3.490 0.805 7.337
1.642 0.559 10.377
-0.440 1.141 8.047
```

> Look up the theoretical density of the first one.

8396 kg/m3